This record from Alexandria via LeMat-Bulk describes a relaxed structure of HfMgN. The functional is PBE.

extended XYZ file:
```
6
Lattice="3.6121 0.0000 0.0000 0.0000 6.0767 0.0000 0.0000 0.0000 4.5211" Properties=species:S:1:pos:R:3 pbc="T T T"
Mg 0.0000 2.7143 2.2606
Mg 1.8061 3.3624 0.0000
Hf 0.0000 0.5557 0.0000
Hf 1.8061 5.5210 2.2606
N 0.0000 0.5738 2.2606
N 1.8061 5.5029 0.0000
```

Its density is 7.26 Mg/m³. The size of the total moment is 0.00 μB/atom. Its space group is Pmmn (59).

---

This record from Alexandria via LeMat-Bulk describes a relaxed structure of HfMgN. The functional is PBE.

extended XYZ file:
```
12
Lattice="5.3856 0.0000 -0.0027 0.0000 3.1454 0.0000 -5.3512 0.0000 10.5709" Properties=species:S:1:pos:R:3 pbc="T T T"
Mg 0.2080 0.0000 0.9767
Mg -2.4675 1.5727 6.2621
Mg -3.3035 0.0000 8.6882
Mg -0.6279 1.5727 3.4027
Hf 2.1626 0.0000 3.6818
Hf -0.5130 1.5727 8.9673
Hf 0.2499 0.0000 6.1294
Hf 2.9255 1.5727 0.8439
N -1.6266 0.0000 10.0830
N 1.0489 1.5727 4.7976
N 3.7495 0.0000 2.2605
N 1.0739 1.5727 7.5460
```

Its density is 8.04 Mg/m³. The size of the total moment is 0.00 μB/atom. Its space group is Cm (8).

---

| no. | ΔE_f (raw) (eV per atom) |
| --- | --- |
| 1 | -0.927 |
| 2 | -0.815 |